CoAs2Os2 | GGA-PBEsol | optimized geometry

Properties
Crystal system: tetragonal
E_tot: -7.7781 eV per atom
Total moment: 1.99 μB/f.u.
SG: No. 139

Lattice parameters (Å, degrees): 6.2141 6.2141 6.2141 144.77 144.77 50.68
With the nearest neighbours (Å) after each atom.
Element x y z (fractional)
Co1 0.0000 0.0000 0.0000  8 Os 2.94
As1 0.2500 0.7500 0.5000  4 Os 2.44, 4 As 2.66
As2 0.7500 0.2500 0.5000  4 Os 2.44, 4 As 2.66
Os1 0.3883 0.3883 0.0000  4 As 2.44, 1 Os 2.51
Os2 0.6117 0.6117 0.0000  4 As 2.44, 1 Os 2.51


CoAs3Os | GGA-PBEsol | optimized geometry

Properties
Crystal system: cubic
E_tot: -5.8164 eV per atom
Total moment: 1.88 μB/f.u.
SG: No. 221

Lattice parameters (Å, degrees): 4.7286 4.7286 4.7286 90.00 90.00 90.00
With the nearest neighbours (Å) after each atom.
Element x y z (fractional)
Co1 0.0000 0.0000 0.0000  12 As 3.34
As1 0.0000 0.5000 0.5000  2 Os 2.36
As2 0.5000 0.0000 0.5000  2 Os 2.36
As3 0.5000 0.5000 0.0000  2 Os 2.36
Os1 0.5000 0.5000 0.5000  6 As 2.36


Co3AsOs | GGA-PBEsol | optimized geometry

Properties
Crystal system: cubic
E_tot: -6.5160 eV per atom
Total moment: 0.00 μB/f.u.
SG: No. 221

Lattice parameters (Å, degrees): 4.3747 4.3747 4.3747 90.00 90.00 90.00
With the nearest neighbours (Å) after each atom.
Element x y z (fractional)
Co1 0.0000 0.0000 0.5000  2 Os 2.19
Co2 0.0000 0.5000 0.0000  2 Os 2.19
Co3 0.5000 0.0000 0.0000  2 Os 2.19
As1 0.5000 0.5000 0.5000  12 Co 3.09
Os1 0.0000 0.0000 0.0000  6 Co 2.19


Co2AsP | GGA-PBEsol | optimized geometry

Properties
Energy above the lowest structure with this stoichiometry: 0.2399 eV per atom
Crystal system: orthorhombic
E_tot: -6.6245 eV per atom
Total moment: 0.81 μB/f.u.
SG: No. 71

Lattice parameters (Å, degrees): 4.1383 4.1383 4.1383 125.97 120.85 84.25
With the nearest neighbours (Å) after each atom.
Element x y z (fractional)
Co1 0.2193 0.2193 0.0000  2 P 2.31, 4 As 2.45-2.55
Co2 0.7807 0.7807 0.0000  2 P 2.31, 4 As 2.45-2.55
As1 0.5000 0.0000 0.5000  8 Co 2.45-2.55
P1 0.0000 0.5000 0.5000  4 Co 2.31


Co2AsP | GGA-PBEsol | optimized geometry

Properties
Energy above the lowest structure with this stoichiometry: 0.0000 eV per atom
Crystal system: monoclinic
E_tot: -6.8644 eV per atom
Total moment: 0.00 μB/f.u.
SG: No. 8

Lattice parameters (Å, degrees): 3.9764 3.9764 4.5641 101.63 101.63 46.44
With the nearest neighbours (Å) after each atom.
Element x y z (fractional)
Co1 0.0000 0.0000 0.0000  2 P 2.17, 3 As 2.35-2.40
Co2 0.2126 0.2126 0.6171  3 P 2.15-2.20
As1 0.7387 0.7387 0.2220  5 Co 2.35-2.43
P1 0.5123 0.5123 0.6747  5 Co 2.15-2.20


CoAsP | GGA-PBEsol | optimized geometry

Properties
Energy above the lowest structure with this stoichiometry: 0.3305 eV per atom
Crystal system: trigonal
E_tot: -6.3570 eV per atom
Total moment: 0.00 μB/f.u.
SG: No. 156

Lattice parameters (Å, degrees): 3.1458 3.1458 4.8270 90.00 90.00 120.00
With the nearest neighbours (Å) after each atom.
Element x y z (fractional)
Co1 0.0000 0.0000 0.0000  3 P 2.20, 3 As 2.40
As1 0.6667 0.3333 0.3265  3 Co 2.40
P1 0.3333 0.6667 0.7432  3 Co 2.20


CoAsP | GGA-PBEsol | optimized geometry

Properties
Energy above the lowest structure with this stoichiometry: 0.0416 eV per atom
Crystal system: orthorhombic
E_tot: -6.6459 eV per atom
Total moment: 0.00 μB/f.u.
SG: No. 61

Lattice parameters (Å, degrees): 5.6666 5.6997 10.1409 90.00 90.00 90.00
With the nearest neighbours (Å) after each atom.
Element x y z (fractional)
Co1 0.0136 0.1089 0.1199  3 P 2.24-2.32, 3 As 2.29-2.30
Co2 0.0136 0.3911 0.6199  3 P 2.24-2.32, 3 As 2.29-2.30
Co3 0.4864 0.6089 0.1199  3 P 2.24-2.32, 3 As 2.29-2.30
Co4 0.4864 0.8911 0.6199  3 P 2.24-2.32, 3 As 2.29-2.30
Co5 0.5136 0.1089 0.3801  3 P 2.24-2.32, 3 As 2.29-2.30
Co6 0.5136 0.3911 0.8801  3 P 2.24-2.32, 3 As 2.29-2.30
Co7 0.9864 0.6089 0.3801  3 P 2.24-2.32, 3 As 2.29-2.30
Co8 0.9864 0.8911 0.8801  3 P 2.24-2.32, 3 As 2.29-2.30
As1 0.1400 0.2445 0.4204  3 Co 2.29-2.30, 1 P 2.35
As2 0.1400 0.2555 0.9204  3 Co 2.29-2.30, 1 P 2.35
As3 0.3600 0.7445 0.4204  3 Co 2.29-2.30, 1 P 2.35
As4 0.3600 0.7555 0.9204  3 Co 2.29-2.30, 1 P 2.35
As5 0.6400 0.2445 0.0796  3 Co 2.29-2.30, 1 P 2.35
As6 0.6400 0.2555 0.5796  3 Co 2.29-2.30, 1 P 2.35
As7 0.8600 0.7445 0.0796  3 Co 2.29-2.30, 1 P 2.35
As8 0.8600 0.7555 0.5796  3 Co 2.29-2.30, 1 P 2.35
P1 0.1266 0.0187 0.6777  3 Co 2.24-2.32, 1 As 2.35
P2 0.1266 0.4813 0.1777  3 Co 2.24-2.32, 1 As 2.35
P3 0.3734 0.5187 0.6777  3 Co 2.24-2.32, 1 As 2.35
P4 0.3734 0.9813 0.1777  3 Co 2.24-2.32, 1 As 2.35
P5 0.6266 0.0187 0.8223  3 Co 2.24-2.32, 1 As 2.35
P6 0.6266 0.4813 0.3223  3 Co 2.24-2.32, 1 As 2.35
P7 0.8734 0.5187 0.8223  3 Co 2.24-2.32, 1 As 2.35
P8 0.8734 0.9813 0.3223  3 Co 2.24-2.32, 1 As 2.35


CoAsP | GGA-PBEsol | optimized geometry

Properties
Energy above the lowest structure with this stoichiometry: 0.0000 eV per atom
Crystal system: orthorhombic
E_tot: -6.6876 eV per atom
Total moment: 0.00 μB/f.u.
SG: No. 31

Lattice parameters (Å, degrees): 2.9799 4.9136 5.6601 90.00 90.00 90.00
With the nearest neighbours (Å) after each atom.
Element x y z (fractional)
Co1 0.0000 0.2306 0.0000  3 P 2.21, 3 As 2.32-2.36
Co2 0.5000 0.7694 0.5000  3 P 2.21, 3 As 2.32-2.36
As1 0.0000 0.4285 0.6284  3 Co 2.32-2.36, 1 P 2.36
As2 0.5000 0.5715 0.1284  3 Co 2.32-2.36, 1 P 2.36
P1 0.0000 0.0594 0.3607  3 Co 2.21, 1 As 2.36
P2 0.5000 0.9406 0.8607  3 Co 2.21, 1 As 2.36


CoAs2P | GGA-PBEsol | optimized geometry

Properties
Crystal system: cubic
E_tot: -5.4757 eV per atom
Total moment: 0.57 μB/f.u.
SG: No. 216

Lattice parameters (Å, degrees): 4.3465 4.3465 4.3465 60.00 60.00 60.00
With the nearest neighbours (Å) after each atom.
Element x y z (fractional)
Co1 0.0000 0.0000 0.0000  4 As 2.66, 4 P 2.66
As1 0.5000 0.5000 0.5000  4 P 2.66, 4 As 2.66
As2 0.7500 0.7500 0.7500  4 As 2.66, 4 Co 2.66
P1 0.2500 0.2500 0.2500  4 As 2.66, 4 Co 2.66


CoAs2Pb | GGA-PBEsol | optimized geometry

Properties
Crystal system: orthorhombic
E_tot: -5.3136 eV per atom
Total moment: 0.01 μB/f.u.
SG: No. 71

Lattice parameters (Å, degrees): 5.7282 5.7282 5.7282 149.95 125.15 63.81
With the nearest neighbours (Å) after each atom.
Element x y z (fractional)
Co1 0.0000 0.0000 0.0000  4 As 2.35
As1 0.1873 0.6873 0.5000  2 Co 2.35
As2 0.8127 0.3127 0.5000  2 Co 2.35
Pb1 0.5000 0.5000 0.0000  2 Pb 2.97, 4 Co 3.03, 4 As 3.21


CoAs2Pb | GGA-PBEsol | optimized geometry

Properties
Crystal system: orthorhombic
E_tot: -4.9313 eV per atom
Total moment: 0.98 μB/f.u.
SG: No. 65

Lattice parameters (Å, degrees): 4.6552 4.6552 3.7339 90.00 90.00 109.67
With the nearest neighbours (Å) after each atom.
Element x y z (fractional)
Co1 0.0000 0.0000 0.0000  2 Pb 2.68, 8 As 2.98
As1 0.0000 0.5000 0.5000  2 As 2.68, 4 Pb 2.98, 4 Co 2.98
As2 0.5000 0.0000 0.5000  2 As 2.68, 4 Pb 2.98, 4 Co 2.98
Pb1 0.5000 0.5000 0.0000  2 Co 2.68, 8 As 2.98


CoAs2Pb | GGA-PBEsol | optimized geometry

Properties
Crystal system: tetragonal
E_tot: -4.9250 eV per atom
Total moment: 0.81 μB/f.u.
SG: No. 139

Lattice parameters (Å, degrees): 4.8795 4.8795 4.8795 125.84 125.84 80.16
With the nearest neighbours (Å) after each atom.
Element x y z (fractional)
Co1 0.0000 0.0000 0.0000  8 As 2.90, 4 Pb 3.14
As1 0.2500 0.7500 0.5000  4 Pb 2.90, 4 Co 2.90, 4 As 3.14
As2 0.7500 0.2500 0.5000  4 Pb 2.90, 4 Co 2.90, 4 As 3.14
Pb1 0.5000 0.5000 0.0000  8 As 2.90, 4 Co 3.14